No. 1
Pu2AgB | PBE | relaxed

Properties
Space group   No. 123
Energy relative to the elements   0.073 eV/atom
ρ   13.1 Mg/m³
E   -37.9 eV/cell

Cell: 3.1299 3.1299 7.8540 Å, 90.00 90.00 90.00°
Atoms (fractional coordinates):
Pu 0.0000 0.0000 0.1884
Pu 0.0000 0.0000 0.8116
Ag 0.5000 0.5000 0.5000
B 0.5000 0.5000 0.0000

No. 2
RbAgB2 | PBE | relaxed

Properties
Space group   No. 225
Energy relative to the elements   1.999 eV/atom
ρ   4.9 Mg/m³
E   -36.7 eV/cell
Distance to the lowest polymorph of the same formula   723 meV/atom

Cell: 6.6249 6.6249 6.6249 Å, 90.00 90.00 90.00°
Atoms (fractional coordinates):
Rb 0.0000 0.0000 0.0000
Rb 0.0000 0.5000 0.5000
Rb 0.5000 0.0000 0.5000
Rb 0.5000 0.5000 0.0000
Ag 0.0000 0.0000 0.5000
Ag 0.0000 0.5000 0.0000
Ag 0.5000 0.0000 0.0000
Ag 0.5000 0.5000 0.5000
B 0.2500 0.2500 0.2500
B 0.2500 0.2500 0.7500
B 0.2500 0.7500 0.2500
B 0.2500 0.7500 0.7500
B 0.7500 0.2500 0.2500
B 0.7500 0.2500 0.7500
B 0.7500 0.7500 0.2500
B 0.7500 0.7500 0.7500

No. 3
Rb2AgB | PBE | relaxed

Properties
Space group   No. 122
Energy relative to the elements   0.586 eV/atom
ρ   2.8 Mg/m³
E   -36.5 eV/cell

Cell: 12.7554 12.7554 4.2392 Å, 90.00 90.00 90.00°
Atoms (fractional coordinates):
Rb 0.0474 0.7500 0.1250
Rb 0.2500 0.0474 0.8750
Rb 0.2500 0.4526 0.3750
Rb 0.4526 0.7500 0.6250
Rb 0.5474 0.2500 0.6250
Rb 0.7500 0.5474 0.3750
Rb 0.7500 0.9526 0.8750
Rb 0.9526 0.2500 0.1250
Ag 0.0000 0.0000 0.5000
Ag 0.0000 0.5000 0.7500
Ag 0.5000 0.0000 0.2500
Ag 0.5000 0.5000 0.0000
B 0.0000 0.0000 0.0000
B 0.0000 0.5000 0.2500
B 0.5000 0.0000 0.7500
B 0.5000 0.5000 0.5000

No. 4
RbAgB2 | PBE | relaxed

Properties
Space group   No. 141
Energy relative to the elements   1.276 eV/atom
ρ   4.0 Mg/m³
E   -48.3 eV/cell
Distance to the lowest polymorph of the same formula   0 meV/atom

Cell: 5.1756 5.1756 13.3106 Å, 90.00 90.00 90.00°
Atoms (fractional coordinates):
Rb 0.0000 0.2500 0.3750
Rb 0.0000 0.7500 0.6250
Rb 0.5000 0.2500 0.1250
Rb 0.5000 0.7500 0.8750
Ag 0.0000 0.2500 0.8750
Ag 0.0000 0.7500 0.1250
Ag 0.5000 0.2500 0.6250
Ag 0.5000 0.7500 0.3750
B 0.0000 0.0000 0.0000
B 0.0000 0.5000 0.0000
B 0.2500 0.2500 0.7500
B 0.2500 0.7500 0.2500
B 0.5000 0.0000 0.5000
B 0.5000 0.5000 0.5000
B 0.7500 0.2500 0.7500
B 0.7500 0.7500 0.2500

No. 5
RbAg2B | PBE | relaxed

Properties
Space group   No. 141
Energy relative to the elements   0.526 eV/atom
ρ   4.7 Mg/m³
E   -45.0 eV/cell

Cell: 5.9339 5.9339 12.5411 Å, 90.00 90.00 90.00°
Atoms (fractional coordinates):
Rb 0.0000 0.2500 0.3750
Rb 0.0000 0.7500 0.6250
Rb 0.5000 0.2500 0.1250
Rb 0.5000 0.7500 0.8750
Ag 0.0000 0.0000 0.0000
Ag 0.0000 0.5000 0.0000
Ag 0.2500 0.2500 0.7500
Ag 0.2500 0.7500 0.2500
Ag 0.5000 0.0000 0.5000
Ag 0.5000 0.5000 0.5000
Ag 0.7500 0.2500 0.7500
Ag 0.7500 0.7500 0.2500
B 0.0000 0.2500 0.8750
B 0.0000 0.7500 0.1250
B 0.5000 0.2500 0.6250
B 0.5000 0.7500 0.3750

No. 6
Rb3AgB2S6 | PBE | relaxed

Properties
Space group   No. 164
ΔE_f (raw)   -584.4 meV per atom
ρ   2.6 Mg/m³
E   -50.9 eV/cell

Cell: 6.8143 6.8143 9.0754 Å, 90.00 90.00 120.00°
Atoms (fractional coordinates):
Rb 0.0000 0.0000 0.0000
Rb 0.3333 0.6667 0.6529
Rb 0.6667 0.3333 0.3471
Ag 0.0000 0.0000 0.5000
B 0.3333 0.6667 0.2960
B 0.6667 0.3333 0.7040
S 0.1798 0.3597 0.2928
S 0.1798 0.8202 0.2928
S 0.3597 0.1798 0.7072
S 0.6403 0.8202 0.2928
S 0.8202 0.1798 0.7072
S 0.8202 0.6403 0.7072

No. 7
RbSiAgB2 | PBE | relaxed

Properties
Space group   No. 123
ΔE_f (raw)   1179.6 meV per atom
ρ   4.3 Mg/m³
E   -16.7 eV/cell

Cell: 4.2714 4.2714 5.1144 Å, 90.00 90.00 90.00°
Atoms (fractional coordinates):
Rb 0.0000 0.0000 0.0000
Si 0.5000 0.5000 0.5000
Ag 0.5000 0.5000 0.0000
B 0.0000 0.5000 0.5000
B 0.5000 0.0000 0.5000

No. 8
RbZrAg2B | PBE | relaxed

Properties
Space group   No. 123
Energy relative to the elements   2.146 eV/atom
ρ   4.9 Mg/m³
E   -11.2 eV/cell

Cell: 5.3501 5.3501 4.7646 Å, 90.00 90.00 90.00°
Atoms (fractional coordinates):
Rb 0.0000 0.0000 0.0000
Zr 0.5000 0.5000 0.5000
Ag 0.0000 0.5000 0.0000
Ag 0.5000 0.0000 0.0000
B 0.0000 0.0000 0.5000

No. 9
ReAgB2 | PBE | relaxed

Properties
Space group   No. 122
Energy relative to the elements   0.928 eV/atom
ρ   8.7 Mg/m³
E   -99.8 eV/cell
Distance to the lowest polymorph of the same formula   0 meV/atom

Cell: 4.9633 4.9633 9.7848 Å, 90.00 90.00 90.00°
Atoms (fractional coordinates):
Re 0.0000 0.0000 0.0000
Re 0.0000 0.5000 0.2500
Re 0.5000 0.0000 0.7500
Re 0.5000 0.5000 0.5000
Ag 0.0000 0.0000 0.5000
Ag 0.0000 0.5000 0.7500
Ag 0.5000 0.0000 0.2500
Ag 0.5000 0.5000 0.0000
B 0.2086 0.2500 0.1250
B 0.2500 0.7086 0.3750
B 0.2500 0.7914 0.8750
B 0.2914 0.2500 0.6250
B 0.7086 0.7500 0.6250
B 0.7500 0.2086 0.8750
B 0.7500 0.2914 0.3750
B 0.7914 0.7500 0.1250

No. 10
Re3AgB | PBE | relaxed

Properties
Space group   No. 221
Energy relative to the elements   0.591 eV/atom
ρ   15.7 Mg/m³
E   -43.9 eV/cell
Distance to the lowest polymorph of the same formula   0 meV/atom

Cell: 4.1512 4.1512 4.1512 Å, 90.00 90.00 90.00°
Atoms (fractional coordinates):
Re 0.0000 0.0000 0.5000
Re 0.0000 0.5000 0.0000
Re 0.5000 0.0000 0.0000
Ag 0.5000 0.5000 0.5000
B 0.0000 0.0000 0.0000

No. 11
Re3AgB | PBE | relaxed

Properties
Space group   No. 221
Energy relative to the elements   4.008 eV/atom
ρ   10.3 Mg/m³
E   -26.8 eV/cell
Distance to the lowest polymorph of the same formula   3417 meV/atom

Cell: 4.7732 4.7732 4.7732 Å, 90.00 90.00 90.00°
Atoms (fractional coordinates):
Re 0.0000 0.0000 0.5000
Re 0.0000 0.5000 0.0000
Re 0.5000 0.0000 0.0000
Ag 0.0000 0.0000 0.0000
B 0.5000 0.5000 0.5000

No. 12
ReAgB2 | PBE | relaxed

Properties
Space group   No. 225
Energy relative to the elements   1.018 eV/atom
ρ   11.9 Mg/m³
E   -98.3 eV/cell
Distance to the lowest polymorph of the same formula   90 meV/atom

Cell: 5.6095 5.6095 5.6095 Å, 90.00 90.00 90.00°
Atoms (fractional coordinates):
Re 0.0000 0.0000 0.0000
Re 0.0000 0.5000 0.5000
Re 0.5000 0.0000 0.5000
Re 0.5000 0.5000 0.0000
Ag 0.0000 0.0000 0.5000
Ag 0.0000 0.5000 0.0000
Ag 0.5000 0.0000 0.0000
Ag 0.5000 0.5000 0.5000
B 0.2500 0.2500 0.2500
B 0.2500 0.2500 0.7500
B 0.2500 0.7500 0.2500
B 0.2500 0.7500 0.7500
B 0.7500 0.2500 0.2500
B 0.7500 0.2500 0.7500
B 0.7500 0.7500 0.2500
B 0.7500 0.7500 0.7500

No. 13
Re2AgB | PBE | relaxed

Properties
Space group   No. 122
Energy relative to the elements   1.254 eV/atom
ρ   11.8 Mg/m³
E   -117.6 eV/cell

Cell: 4.3473 4.3473 14.5904 Å, 90.00 90.00 90.00°
Atoms (fractional coordinates):
Re 0.1307 0.2500 0.1250
Re 0.2500 0.6307 0.3750
Re 0.2500 0.8693 0.8750
Re 0.3693 0.2500 0.6250
Re 0.6307 0.7500 0.6250
Re 0.7500 0.1307 0.8750
Re 0.7500 0.3693 0.3750
Re 0.8693 0.7500 0.1250
Ag 0.0000 0.0000 0.5000
Ag 0.0000 0.5000 0.7500
Ag 0.5000 0.0000 0.2500
Ag 0.5000 0.5000 0.0000
B 0.0000 0.0000 0.0000
B 0.0000 0.5000 0.2500
B 0.5000 0.0000 0.7500
B 0.5000 0.5000 0.5000

No. 14
ReAgBS2 | PBE | relaxed

Properties
Space group   No. 123
ΔE_f (raw)   1933.3 meV per atom
ρ   6.3 Mg/m³
E   -20.6 eV/cell

Cell: 4.9380 4.9380 4.0102 Å, 90.00 90.00 90.00°
Atoms (fractional coordinates):
Re 0.0000 0.0000 0.0000
Ag 0.5000 0.5000 0.5000
B 0.5000 0.5000 0.0000
S 0.0000 0.5000 0.5000
S 0.5000 0.0000 0.5000

No. 15
ReAgB2Te | PBE | relaxed

Properties
Space group   No. 123
ΔE_f (raw)   2614.5 meV per atom
ρ   7.3 Mg/m³
E   -18.7 eV/cell

Cell: 4.3938 4.3938 5.1905 Å, 90.00 90.00 90.00°
Atoms (fractional coordinates):
Re 0.0000 0.0000 0.0000
Ag 0.5000 0.5000 0.0000
B 0.0000 0.5000 0.5000
B 0.5000 0.0000 0.5000
Te 0.5000 0.5000 0.5000

No. 16
ZrRe2AgB | PBE | relaxed

Properties
Space group   No. 123
Energy relative to the elements   0.173 eV/atom
ρ   12.6 Mg/m³
E   -42.1 eV/cell

Cell: 4.2524 4.2524 4.2546 Å, 90.00 90.00 90.00°
Atoms (fractional coordinates):
Zr 0.0000 0.0000 0.0000
Re 0.0000 0.5000 0.5000
Re 0.5000 0.0000 0.5000
Ag 0.5000 0.5000 0.0000
B 0.5000 0.5000 0.5000

No. 17
AgBRh2 | PBE | relaxed

Properties
Space group   No. 160
Energy relative to the elements   -0.139 eV/atom
ρ   10.0 Mg/m³
E   -74.4 eV/cell

Cell: 2.8882 2.8882 22.2918 Å, 90.00 90.00 120.00°
Atoms (fractional coordinates):
Ag 0.0000 0.0000 0.0000
Ag 0.3333 0.6667 0.6667
Ag 0.6667 0.3333 0.3333
B 0.0000 0.0000 0.1659
B 0.3333 0.6667 0.8326
B 0.6667 0.3333 0.4993
Rh 0.0000 0.0000 0.5586
Rh 0.0000 0.0000 0.7738
Rh 0.3333 0.6667 0.2252
Rh 0.3333 0.6667 0.4405
Rh 0.6667 0.3333 0.1071
Rh 0.6667 0.3333 0.8919

No. 18
AgBRh3 | PBE | relaxed

Properties
Space group   No. 221
Energy relative to the elements   0.057 eV/atom
ρ   10.1 Mg/m³
E   -31.3 eV/cell
Distance to the lowest polymorph of the same formula   102 meV/atom

Cell: 4.1266 4.1266 4.1266 Å, 90.00 90.00 90.00°
Atoms (fractional coordinates):
Ag 0.0000 0.0000 0.0000
B 0.5000 0.5000 0.5000
Rh 0.0000 0.5000 0.5000
Rh 0.5000 0.0000 0.5000
Rh 0.5000 0.5000 0.0000

No. 19
AgBRh2 | PBE | relaxed

Properties
Space group   No. 166
Energy relative to the elements   -0.135 eV/atom
ρ   10.1 Mg/m³
E   -74.3 eV/cell

Cell: 2.8614 2.8614 22.6131 Å, 90.00 90.00 120.00°
Atoms (fractional coordinates):
Ag 0.0000 0.0000 0.0000
Ag 0.3333 0.6667 0.6667
Ag 0.6667 0.3333 0.3333
B 0.0000 0.0000 0.5000
B 0.3333 0.6667 0.1667
B 0.6667 0.3333 0.8333
Rh 0.0000 0.0000 0.2263
Rh 0.0000 0.0000 0.7737
Rh 0.3333 0.6667 0.4403
Rh 0.3333 0.6667 0.8930
Rh 0.6667 0.3333 0.1070
Rh 0.6667 0.3333 0.5597

No. 20
AgBRh | PBE | relaxed

Properties
Space group   No. 12
Energy relative to the elements   0.172 eV/atom
ρ   9.0 Mg/m³
E   -65.5 eV/cell

Cell: 10.6175 3.2877 5.3012 Å, 90.00 118.48 90.00°
Atoms (fractional coordinates):
Ag 0.0265 0.0000 0.2747
Ag 0.4735 0.5000 0.7253
Ag 0.5265 0.5000 0.2747
Ag 0.9735 0.0000 0.7253
B 0.1567 0.5000 0.0909
B 0.3433 0.0000 0.9091
B 0.6567 0.0000 0.0909
B 0.8433 0.5000 0.9091
Rh 0.2183 0.5000 0.7616
Rh 0.2817 0.0000 0.2384
Rh 0.7183 0.0000 0.7616
Rh 0.7817 0.5000 0.2384